First-principles (PBE) data for a relaxed ReNiBiPd crystal, as listed in OQMD.

Cell lengths 4.5874, 4.5874, 4.5874 Å; angles 60.00, 60.00, 60.00 degrees
Atoms (fractional coordinates):
1 Re 0.0000 0.0000 0.0000
2 Ni 0.7500 0.7500 0.7500
3 Bi 0.5000 0.5000 0.5000
4 Pd 0.2500 0.2500 0.2500

## Properties
Space group ... F-43m (216)


First-principles (PBE) data for a relaxed Nd4CBr3Cl2 crystal, as listed in OQMD.

Cell lengths 9.3466, 9.3466, 8.3851 Å; angles 103.85, 103.85, 24.36 degrees
Atoms (fractional coordinates):
1 Nd 0.0000 0.0000 0.2069
2 Nd 0.0000 0.0000 0.7931
3 Nd 0.3581 0.3581 0.9196
4 Nd 0.6419 0.6419 0.0804
5 C 0.5000 0.5000 0.0000
6 Br 0.1704 0.1704 0.8311
7 Br 0.5000 0.5000 0.5000
8 Br 0.8296 0.8296 0.1689
9 Cl 0.1602 0.1602 0.3287
10 Cl 0.8398 0.8398 0.6713

## Properties
Space group ... C2/m (12)


First-principles (PBE) data for a relaxed PuPt5 crystal, as listed in OQMD.

Cell lengths 5.3891, 5.3891, 4.4540 Å; angles 90.00, 90.00, 120.00 degrees
Atoms (fractional coordinates):
1 Pu 0.0000 0.0000 0.0000
2 Pt 0.0000 0.5000 0.5000
3 Pt 0.3333 0.6667 0.0000
4 Pt 0.5000 0.0000 0.5000
5 Pt 0.5000 0.5000 0.5000
6 Pt 0.6667 0.3333 0.0000

## Properties
Energy of formation ... -550 meV per atom
Space group ... P6/mmm (191)


First-principles (PBE) data for a relaxed LuBMo crystal, as listed in OQMD.

Cell lengths 4.3547, 4.3547, 4.3547 Å; angles 60.00, 60.00, 60.00 degrees
Atoms (fractional coordinates):
1 Lu 0.0000 0.0000 0.0000
2 B 0.7500 0.7500 0.7500
3 Mo 0.2500 0.2500 0.2500

## Properties
Energy relative to the lowest polymorph listed for this composition ... 4.69 eV per formula unit
Space group ... F-43m (216)


First-principles (PBE) data for a relaxed YErCo2 crystal, as listed in OQMD.

Cell lengths 3.8500, 5.5037, 7.4232 Å; angles 90.00, 90.00, 90.00 degrees
Atoms (fractional coordinates):
1 Y 0.0000 0.1329 0.0000
2 Y 0.0000 0.8671 0.5000
3 Er 0.5000 0.3679 0.3557
4 Er 0.5000 0.6321 0.8557
5 Co 0.0000 0.3556 0.6489
6 Co 0.0000 0.6444 0.1489
7 Co 0.5000 0.1557 0.7034
8 Co 0.5000 0.8443 0.2034

## Properties
Energy of formation ... -216 meV per atom
Space group ... Pmc2_1 (26)


First-principles (PBE) data for a relaxed GdCo9Si4 crystal, as listed in OQMD.

Cell lengths 7.8763, 7.8763, 7.8763 Å; angles 121.55, 121.55, 87.33 degrees
Atoms (fractional coordinates):
1 Gd 0.2500 0.2500 0.0000
2 Gd 0.7500 0.7500 0.0000
3 Co 0.0000 0.5000 0.5000
4 Co 0.0504 0.5504 0.2404
5 Co 0.0701 0.8009 0.8709
6 Co 0.1900 0.9496 0.5000
7 Co 0.1991 0.0701 0.2692
8 Co 0.3009 0.5701 0.8709
9 Co 0.3100 0.8100 0.7596
10 Co 0.4299 0.3009 0.7308
11 Co 0.4496 0.6900 0.5000
12 Co 0.5000 0.0000 0.5000
13 Co 0.5504 0.3100 0.5000
14 Co 0.5701 0.6991 0.2692
15 Co 0.6900 0.1900 0.2404
16 Co 0.6991 0.4299 0.1291
17 Co 0.8009 0.9299 0.7308
18 Co 0.8100 0.0504 0.5000
19 Co 0.9299 0.1991 0.1291
20 Co 0.9496 0.4496 0.7596
21 Si 0.0477 0.2083 0.5000
22 Si 0.2083 0.7083 0.1606
23 Si 0.2917 0.4523 0.5000
24 Si 0.4523 0.9523 0.1606
25 Si 0.5477 0.0477 0.8394
26 Si 0.7083 0.5477 0.5000
27 Si 0.7917 0.2917 0.8394
28 Si 0.9523 0.7917 0.5000

## Properties
Energy relative to the lowest polymorph listed for this composition ... 0.00 eV per formula unit
Space group ... I4/mcm (140)


First-principles (PBE) data for a relaxed KCuSe2 crystal, as listed in OQMD.

Cell lengths 6.2955, 6.2955, 5.3183 Å; angles 102.51, 102.51, 98.52 degrees
Atoms (fractional coordinates):
1 K 0.1376 0.8624 0.7500
2 K 0.8624 0.1376 0.2500
3 Cu 0.4763 0.5237 0.2500
4 Cu 0.5237 0.4763 0.7500
5 Se 0.1438 0.4020 0.9015
6 Se 0.4020 0.1438 0.4015
7 Se 0.5980 0.8562 0.5985
8 Se 0.8562 0.5980 0.0985

## Properties
Space group ... C2/c (15)


First-principles (PBE) data for a relaxed BeTcNO crystal, as listed in OQMD.

Cell lengths 4.9370, 6.6505, 4.5892 Å; angles 90.00, 90.00, 90.00 degrees
Atoms (fractional coordinates):
1 Be 0.1149 0.0806 0.0000
2 Be 0.3851 0.0806 0.5000
3 Be 0.6149 0.9194 0.0000
4 Be 0.8851 0.9194 0.5000
5 Tc 0.0947 0.5856 0.8156
6 Tc 0.4053 0.5856 0.3156
7 Tc 0.5947 0.4144 0.8156
8 Tc 0.9053 0.4144 0.3156
9 N 0.0200 0.6868 0.4157
10 N 0.4800 0.6868 0.9157
11 N 0.5200 0.3132 0.4157
12 N 0.9800 0.3132 0.9157
13 O 0.0814 0.0888 0.3603
14 O 0.4186 0.0888 0.8603
15 O 0.5814 0.9112 0.3603
16 O 0.9186 0.9112 0.8603

## Properties
Energy relative to the lowest polymorph listed for this composition ... 0.00 eV per formula unit
Space group ... Pca2_1 (29)


First-principles (PBE) data for a relaxed Tb4B5 crystal, as listed in OQMD.

Cell lengths 5.7932, 14.8564, 3.8315 Å; angles 90.00, 90.00, 90.00 degrees
Atoms (fractional coordinates):
1 Tb 0.1787 0.1708 0.0000
2 Tb 0.2379 0.4482 0.5000
3 Tb 0.2621 0.9482 0.5000
4 Tb 0.3213 0.6708 0.0000
5 Tb 0.6787 0.3292 0.0000
6 Tb 0.7379 0.0518 0.5000
7 Tb 0.7621 0.5518 0.5000
8 Tb 0.8213 0.8292 0.0000
9 B 0.0000 0.0000 0.0000
10 B 0.0383 0.2848 0.5000
11 B 0.1797 0.7791 0.5000
12 B 0.3203 0.2791 0.5000
13 B 0.4617 0.7848 0.5000
14 B 0.5000 0.5000 0.0000
15 B 0.5383 0.2152 0.5000
16 B 0.6797 0.7209 0.5000
17 B 0.8203 0.2209 0.5000
18 B 0.9617 0.7152 0.5000

## Properties
Space group ... Pbam (55)


First-principles (PBE) data for a relaxed TbTm2Al3CuNi2 crystal, as listed in OQMD.

Cell lengths 3.8935, 6.9254, 6.9254 Å; angles 120.00, 90.00, 90.00 degrees
Atoms (fractional coordinates):
1 Tb 0.0000 0.0000 0.0000
2 Tm 0.0000 0.4181 0.8359
3 Tm 0.0000 0.8359 0.4181
4 Al 0.5000 0.1774 0.4208
5 Al 0.5000 0.4208 0.1774
6 Al 0.5000 0.6590 0.6590
7 Cu 0.0000 0.4210 0.4210
8 Ni 0.5000 0.0868 0.7492
9 Ni 0.5000 0.7492 0.0868

## Properties
Space group ... Amm2 (38)


First-principles (PBE) data for a relaxed Nb3AlB2 crystal, as listed in OQMD.

Cell lengths 3.2531, 3.2531, 18.9179 Å; angles 90.00, 90.00, 120.00 degrees
Atoms (fractional coordinates):
1 Nb 0.0000 0.0000 0.0000
2 Nb 0.0000 0.0000 0.5000
3 Nb 0.3333 0.6667 0.1361
4 Nb 0.3333 0.6667 0.3639
5 Nb 0.6667 0.3333 0.6361
6 Nb 0.6667 0.3333 0.8639
7 Al 0.0000 0.0000 0.2500
8 Al 0.0000 0.0000 0.7500
9 B 0.3333 0.6667 0.5722
10 B 0.3333 0.6667 0.9278
11 B 0.6667 0.3333 0.0722
12 B 0.6667 0.3333 0.4278

## Properties
Space group ... P6_3/mmc (194)


First-principles (PBE) data for a relaxed KGdGaSe3 crystal, as listed in OQMD.

Cell lengths 7.5337, 7.5337, 11.0347 Å; angles 90.00, 90.00, 144.77 degrees
Atoms (fractional coordinates):
1 K 0.2502 0.7498 0.7500
2 K 0.7498 0.2502 0.2500
3 Gd 0.0000 0.0000 0.0000
4 Gd 0.0000 0.0000 0.5000
5 Ga 0.4859 0.5141 0.2500
6 Ga 0.5141 0.4859 0.7500
7 Se 0.0666 0.9334 0.2500
8 Se 0.3770 0.6230 0.0679
9 Se 0.3770 0.6230 0.4321
10 Se 0.6230 0.3770 0.5679
11 Se 0.6230 0.3770 0.9321
12 Se 0.9334 0.0666 0.7500

## Properties
Space group ... Cmcm (63)


First-principles (PBE) data for a relaxed IrF2 crystal, as listed in OQMD.

Cell lengths 4.6279, 4.6279, 3.6214 Å; angles 90.00, 90.00, 90.00 degrees
Atoms (fractional coordinates):
1 Ir 0.0000 0.0000 0.0000
2 Ir 0.5000 0.5000 0.5000
3 F 0.1849 0.1849 0.5000
4 F 0.3151 0.6849 0.0000
5 F 0.6849 0.3151 0.0000
6 F 0.8151 0.8151 0.5000

## Properties
Space group ... P4_2/mnm (136)


First-principles (PBE) data for a relaxed Ba2ZnF6 crystal, as listed in OQMD.

Cell lengths 8.2230, 8.2212, 4.0835 Å; angles 75.65, 75.60, 28.76 degrees
Atoms (fractional coordinates):
1 Ba 0.1487 0.1487 0.8513
2 Ba 0.8513 0.8513 0.1487
3 Zn 0.5000 0.5000 0.5000
4 F 0.0000 0.0000 0.5000
5 F 0.2500 0.2500 0.2500
6 F 0.3743 0.3743 0.6257
7 F 0.5000 0.5000 0.0000
8 F 0.6257 0.6257 0.3743
9 F 0.7500 0.7500 0.7500

## Properties
Space group ... Fmmm (69)


First-principles (PBE) data for a relaxed Li2ZnAu crystal, as listed in OQMD.

Cell lengths 7.5480, 7.5256, 4.5919 Å; angles 90.00, 90.00, 90.00 degrees
Atoms (fractional coordinates):
1 Li 0.2047 0.0840 0.0009
2 Li 0.2047 0.4160 0.0009
3 Li 0.2953 0.5840 0.5009
4 Li 0.2953 0.9160 0.5009
5 Li 0.7047 0.0840 0.4991
6 Li 0.7047 0.4160 0.4991
7 Li 0.7953 0.5840 0.9991
8 Li 0.7953 0.9160 0.9991
9 Zn 0.0371 0.2500 0.5005
10 Zn 0.4629 0.7500 0.0005
11 Zn 0.5371 0.2500 0.9995
12 Zn 0.9629 0.7500 0.4995
13 Au 0.1216 0.7500 0.9996
14 Au 0.3784 0.2500 0.4996
15 Au 0.6216 0.7500 0.5004
16 Au 0.8784 0.2500 0.0004

## Properties
Space group ... Pnma (62)


First-principles (PBE) data for a relaxed LiNpIr crystal, as listed in OQMD.

Cell lengths 4.4133, 4.4133, 4.4133 Å; angles 60.00, 60.00, 60.00 degrees
Atoms (fractional coordinates):
1 Li 0.0000 0.0000 0.0000
2 Np 0.5000 0.5000 0.5000
3 Ir 0.2500 0.2500 0.2500

## Properties
Space group ... F-43m (216)


First-principles (PBE) data for a relaxed Pr2GeO5 crystal, as listed in OQMD.

Cell lengths 8.3938, 8.3938, 10.8225 Å; angles 118.56, 118.56, 49.08 degrees
Atoms (fractional coordinates):
1 Pr 0.0045 0.7193 0.1698
2 Pr 0.2122 0.7170 0.5414
3 Pr 0.2807 0.9955 0.3302
4 Pr 0.2830 0.7878 0.9586
5 Pr 0.7170 0.2122 0.0414
6 Pr 0.7193 0.0045 0.6698
7 Pr 0.7878 0.2830 0.4586
8 Pr 0.9955 0.2807 0.8302
9 Ge 0.2246 0.4094 0.6818
10 Ge 0.4094 0.2246 0.1818
11 Ge 0.5906 0.7754 0.8182
12 Ge 0.7754 0.5906 0.3182
13 O 0.0622 0.3370 0.6656
14 O 0.0766 0.8858 0.1000
15 O 0.0858 0.6872 0.6898
16 O 0.1142 0.9234 0.4000
17 O 0.2498 0.3568 0.0381
18 O 0.3128 0.9142 0.8102
19 O 0.3370 0.0622 0.1656
20 O 0.3568 0.2498 0.5381
21 O 0.3887 0.4406 0.3416
22 O 0.4406 0.3887 0.8416
23 O 0.5594 0.6113 0.1584
24 O 0.6113 0.5594 0.6584
25 O 0.6432 0.7502 0.4619
26 O 0.6630 0.9378 0.8344
27 O 0.6872 0.0858 0.1898
28 O 0.7502 0.6432 0.9619
29 O 0.8858 0.0766 0.6000
30 O 0.9142 0.3128 0.3102
31 O 0.9234 0.1142 0.9000
32 O 0.9378 0.6630 0.3344

## Properties
Energy relative to the lowest polymorph listed for this composition ... 0.04 eV per formula unit
Space group ... C2/c (15)


First-principles (PBE) data for a relaxed ZrZnFeTc crystal, as listed in OQMD.

Cell lengths 4.4713, 4.4713, 4.4713 Å; angles 60.00, 60.00, 60.00 degrees
Atoms (fractional coordinates):
1 Zr 0.0000 0.0000 0.0000
2 Zn 0.2500 0.2500 0.2500
3 Fe 0.5000 0.5000 0.5000
4 Tc 0.7500 0.7500 0.7500

## Properties
Energy of formation ... 91 meV per atom
Energy relative to the lowest polymorph listed for this composition ... 0.17 eV per formula unit
Space group ... F-43m (216)


First-principles (PBE) data for a relaxed BiAsIr crystal, as listed in OQMD.

Cell lengths 4.5373, 4.5373, 4.5373 Å; angles 60.00, 60.00, 60.00 degrees
Atoms (fractional coordinates):
1 Bi 0.0000 0.0000 0.0000
2 As 0.5000 0.5000 0.5000
3 Ir 0.7500 0.7500 0.7500

## Properties
Energy relative to the lowest polymorph listed for this composition ... 0.87 eV per formula unit
Space group ... F-43m (216)


First-principles (PBE) data for a relaxed CuReSn crystal, as listed in OQMD.

Cell lengths 4.3635, 4.3635, 4.3635 Å; angles 60.00, 60.00, 60.00 degrees
Atoms (fractional coordinates):
1 Cu 0.0000 0.0000 0.0000
2 Re 0.2500 0.2500 0.2500
3 Sn 0.5000 0.5000 0.5000

## Properties
Energy relative to the lowest polymorph listed for this composition ... 0.00 eV per formula unit
Space group ... F-43m (216)


no.,E_tot (eV per atom)
1,-6.1356
2,-5.2389
3,-7.9509
4,-5.5544
5,-6.5262
6,-6.9380
7,-3.4874
8,-7.9511
9,-5.9506
10,-4.9658
11,-8.3884
12,-4.4378
13,-4.6210
14,-5.1118
15,-2.4451
16,-7.7807
17,-7.6679
18,-7.0296
19,-5.8370
20,-5.8809